1.
Material: Bi2PtAu
Method: DFT, PBE-GGA
State: optimized geometry

Cell and atoms, written as CIF:
```
data_Bi2PtAu
_chemical_formula_sum 'Bi2 Pt1 Au1'
_cell_length_a 5.065
_cell_length_b 5.065
_cell_length_c 5.065
_cell_angle_alpha 60.00
_cell_angle_beta 60.00
_cell_angle_gamma 60.00
_symmetry_space_group_name_H-M 'P 1'
_symmetry_Int_Tables_number 1
loop_
_symmetry_equiv_pos_as_xyz
'x,y,z'
loop_
_atom_site_label
_atom_site_fract_x
_atom_site_fract_y
_atom_site_fract_z
_atom_site_occupancy
Bi1 0.000 0.000 0.000 1
Bi2 0.250 0.250 0.250 1
Pt1 0.500 0.500 0.500 1
Au1 0.750 0.750 0.750 1
```

Output
**Crystal system**: cubic

---

2.
Material: ZnBiPtAu
Method: DFT, PBE-GGA
State: optimized geometry

Cell and atoms, written as CIF:
```
data_ZnBiPtAu
_chemical_formula_sum 'Zn1 Bi1 Pt1 Au1'
_cell_length_a 4.807
_cell_length_b 4.807
_cell_length_c 4.807
_cell_angle_alpha 60.00
_cell_angle_beta 60.00
_cell_angle_gamma 60.00
_symmetry_space_group_name_H-M 'P 1'
_symmetry_Int_Tables_number 1
loop_
_symmetry_equiv_pos_as_xyz
'x,y,z'
loop_
_atom_site_label
_atom_site_fract_x
_atom_site_fract_y
_atom_site_fract_z
_atom_site_occupancy
Zn1 0.000 0.000 0.000 1
Bi1 0.500 0.500 0.500 1
Pt1 0.750 0.750 0.750 1
Au1 0.250 0.250 0.250 1
```

Output
**Relative energy among the computed polymorphs**: 0.00 eV/f.u.
**Crystal system**: cubic

---

It is found that the size of the total moment values, taken in the order of the records, are 0.000, 0.000 μB/atom.
It is found that the final energy values, taken in the order of the records, are -4.122, -3.643 eV/atom.